1.
A geometry-optimized Ta3TiN structure. Source: Alexandria, functional GGA-PBE.

a = 4.277 Å, b = 4.277 Å, c = 4.277 Å
α = 90.00°, β = 90.00°, γ = 90.00°
Positions (direct):
N  0.000  0.000  0.000
Ti  0.500  0.500  0.500
Ta  0.000  0.500  0.000
Ta  0.000  0.000  0.500
Ta  0.500  0.000  0.000

Summary:
- E_form (uncorrected): -0.4771 eV per atom
- SG: Pm-3m, No. 221



2.
A geometry-optimized AcSmNi2 structure. Source: Alexandria, functional GGA-PBE.

a = 4.095 Å, b = 4.095 Å, c = 7.296 Å
α = 73.70°, β = 73.70°, γ = 60.00°
Positions (direct):
Ac  0.671  0.671  0.987
Sm  0.497  0.497  0.509
Ni  0.092  0.092  0.723
Ni  0.240  0.240  0.281

Summary:
- Formation enthalpy at 0 K: -0.55 eV per formula unit
- SG: R3m, No. 160



3.
A geometry-optimized SeN structure. Source: Alexandria, functional GGA-PBE.

a = 4.453 Å, b = 3.027 Å, c = 8.733 Å
α = 90.00°, β = 104.12°, γ = 90.00°
Positions (direct):
Se  0.719  0.500  0.435
Se  0.281  0.500  0.565
N  0.038  0.000  0.066
N  0.962  0.000  0.934

Summary:
- E_form (uncorrected): 0.1141 eV per atom
- SG: P2/m, No. 10



4.
A geometry-optimized KNp2CdO8 structure. Source: Alexandria, functional GGA-PBE.

a = 5.565 Å, b = 5.565 Å, c = 6.543 Å
α = 115.16°, β = 115.16°, γ = 90.00°
Site moments in Bohr magnetons follow the coordinates.
Positions (direct):
K  0.750  0.250  0.500  0.00
Np  0.500  0.500  0.000  0.84
Np  0.250  0.750  0.500  0.75
Cd  0.000  0.000  0.000  0.00
O  0.835  0.811  0.220  -0.07
O  0.386  0.409  0.220  -0.07
O  0.589  0.666  0.732  -0.06
O  0.143  0.066  0.732  -0.06
O  0.934  0.411  0.268  -0.06
O  0.334  0.857  0.268  -0.06
O  0.189  0.614  0.780  -0.07
O  0.591  0.165  0.780  -0.07

Summary:
- E_form (uncorrected): -2.0593 eV per atom
- SG: I-4, No. 82



5.
A geometry-optimized BaTeOF2 structure. Source: Alexandria, functional GGA-PBE.

a = 5.008 Å, b = 5.008 Å, c = 5.118 Å
α = 90.00°, β = 90.00°, γ = 90.00°
Site moments in Bohr magnetons follow the coordinates.
Positions (direct):
Te  0.500  0.500  0.500  1.30
Ba  0.000  0.000  0.000  -0.04
O  0.000  0.000  0.500  -0.44
F  0.000  0.500  0.000  0.10
F  0.500  0.000  0.000  0.10

Summary:
- E_form (uncorrected): -1.3487 eV per atom
- SG: P4/mmm, No. 123



6.
A geometry-optimized Tb2Pm2Ho2Er structure. Source: Alexandria, functional GGA-PBE.

a = 5.676 Å, b = 5.676 Å, c = 8.788 Å
α = 71.16°, β = 71.16°, γ = 60.00°
Positions (direct):
Tb  0.715  0.715  0.855
Tb  0.285  0.285  0.145
Pm  0.139  0.139  0.584
Pm  0.861  0.861  0.416
Ho  0.573  0.573  0.281
Ho  0.427  0.427  0.719
Er  0.000  0.000  0.000

Summary:
- Formation enthalpy at 0 K: 0.99 eV per formula unit
- SG: R-3m, No. 166



7.
A geometry-optimized Ac2TmCo structure. Source: Alexandria, functional GGA-PBE.

a = 3.707 Å, b = 3.707 Å, c = 11.441 Å
α = 80.68°, β = 80.68°, γ = 60.00°
Site moments in Bohr magnetons follow the coordinates.
Positions (direct):
Ac  0.077  0.077  0.769  -0.04
Ac  0.923  0.923  0.231  -0.04
Tm  0.500  0.500  0.500  0.13
Co  0.000  0.000  0.000  1.14

Summary:
- Formation enthalpy at 0 K: 2.67 eV per formula unit
- SG: R-3m, No. 166



8.
A geometry-optimized CdP3 structure. Source: Alexandria, functional GGA-PBE.

a = 7.695 Å, b = 6.445 Å, c = 6.298 Å
α = 90.00°, β = 90.00°, γ = 90.00°
Positions (direct):
P  0.103  0.920  0.750
P  0.603  0.580  0.250
P  0.397  0.420  0.750
P  0.897  0.080  0.250
P  0.593  0.295  0.983
P  0.093  0.205  0.017
P  0.907  0.795  0.517
P  0.407  0.705  0.483
P  0.407  0.705  0.017
P  0.907  0.795  0.983
P  0.093  0.205  0.483
P  0.593  0.295  0.517
Cd  0.621  0.926  0.750
Cd  0.121  0.574  0.250
Cd  0.879  0.426  0.750
Cd  0.379  0.074  0.250

Summary:
- Formation enthalpy at 0 K: 1.15 eV per formula unit
- SG: Pnma, No. 62



9.
A geometry-optimized ReSiSbI2 structure. Source: Alexandria, functional GGA-PBE.

a = 5.504 Å, b = 5.504 Å, c = 5.139 Å
α = 90.00°, β = 90.00°, γ = 90.00°
Site moments in Bohr magnetons follow the coordinates.
Positions (direct):
I  0.000  0.500  0.000  0.02
I  0.500  0.000  0.000  0.02
Re  0.000  0.000  0.000  0.84
Si  0.500  0.500  0.500  0.31
Sb  0.000  0.000  0.500  -0.05

Summary:
- E_form (uncorrected): 1.1805 eV per atom
- SG: P4/mmm, No. 123



10.
A geometry-optimized FeSiMo structure. Source: Alexandria, functional GGA-PBE.

a = 5.181 Å, b = 5.181 Å, c = 2.794 Å
α = 74.36°, β = 74.36°, γ = 31.28°
Positions (direct):
Mo  0.335  0.335  0.665
Si  0.648  0.648  0.352
Fe  0.017  0.017  0.983

Summary:
- E_form (uncorrected): -0.2890 eV per atom
- SG: I4mm, No. 107



11.
A geometry-optimized LaYTl2 structure. Source: Alexandria, functional GGA-PBE.

a = 7.440 Å, b = 7.440 Å, c = 7.440 Å
α = 55.85°, β = 153.08°, γ = 132.04°
Positions (direct):
La  0.000  0.500  0.500
Y  0.000  0.000  0.000
Tl  0.000  0.242  0.242
Tl  0.000  0.758  0.758

Summary:
- Formation enthalpy at 0 K: 0.79 eV per formula unit
- SG: Immm, No. 71



12.
A geometry-optimized YB2Rh structure. Source: Alexandria, functional GGA-PBE.

a = 4.164 Å, b = 4.164 Å, c = 7.578 Å
α = 74.05°, β = 74.05°, γ = 90.00°
Positions (direct):
Y  0.500  0.500  0.000
Y  0.250  0.750  0.500
B  0.875  0.125  0.250
B  0.875  0.625  0.250
B  0.375  0.125  0.750
B  0.875  0.125  0.750
Rh  0.000  0.000  0.000
Rh  0.750  0.250  0.500

Summary:
- Formation enthalpy at 0 K: -1.22 eV per formula unit
- SG: I4_1/amd, No. 141



13.
A geometry-optimized LiNd4Mg3 structure. Source: Alexandria, functional GGA-PBE.

a = 5.483 Å, b = 5.483 Å, c = 9.493 Å
α = 73.21°, β = 73.21°, γ = 60.00°
Positions (direct):
Mg  0.249  0.249  0.254
Mg  0.751  0.751  0.746
Mg  0.500  0.500  0.500
Nd  0.876  0.876  0.372
Nd  0.374  0.374  0.877
Nd  0.124  0.124  0.628
Nd  0.626  0.626  0.123
Li  0.000  0.000  0.000

Summary:
- Formation enthalpy at 0 K: -0.46 eV per formula unit
- SG: R-3m, No. 166



14.
A geometry-optimized LiMoW3 structure. Source: Alexandria, functional GGA-PBE.

a = 4.242 Å, b = 4.242 Å, c = 4.242 Å
α = 90.00°, β = 90.00°, γ = 90.00°
Positions (direct):
Mo  0.500  0.500  0.500
W  0.000  0.500  0.000
W  0.000  0.000  0.500
W  0.500  0.000  0.000
Li  0.000  0.000  0.000

Summary:
- Formation enthalpy at 0 K: 7.23 eV per formula unit
- SG: Pm-3m, No. 221



15.
A geometry-optimized Er8SbC4 structure. Source: Alexandria, functional GGA-PBE.

a = 3.605 Å, b = 8.758 Å, c = 9.079 Å
α = 82.31°, β = 78.55°, γ = 78.12°
Positions (direct):
Er  0.148  0.326  0.378
Er  0.558  0.653  0.232
Er  0.474  0.350  0.702
Er  0.884  0.677  0.555
Er  0.852  0.991  0.305
Er  0.219  0.663  0.900
Er  0.179  0.012  0.629
Er  0.813  0.341  0.034
Sb  0.516  0.002  0.967
C  0.368  0.838  0.426
C  0.849  0.506  0.796
C  0.183  0.497  0.137
C  0.663  0.165  0.508

Summary:
- E_form (uncorrected): -0.3848 eV per atom
- SG: C2/m, No. 12



16.
A geometry-optimized LiFeAs6 structure. Source: Alexandria, functional GGA-PBE.

a = 7.417 Å, b = 7.417 Å, c = 7.505 Å
α = 107.44°, β = 109.21°, γ = 111.33°
Positions (direct):
Li  0.000  0.500  0.000
Li  0.500  0.000  0.000
Fe  0.000  0.000  0.500
Fe  0.500  0.500  0.500
As  0.120  0.586  0.706
As  0.880  0.414  0.294
As  0.842  0.706  0.548
As  0.158  0.294  0.452
As  0.811  0.158  0.638
As  0.189  0.842  0.362
As  0.480  0.827  0.638
As  0.520  0.173  0.362
As  0.666  0.792  0.162
As  0.334  0.208  0.838
As  0.630  0.504  0.838
As  0.370  0.496  0.162

Summary:
- Formation enthalpy at 0 K: -0.54 eV per formula unit
- SG: C2/m, No. 12



17.
A geometry-optimized SrLi4Zn2 structure. Source: Alexandria, functional GGA-PBE.

a = 5.559 Å, b = 5.779 Å, c = 5.779 Å
α = 69.18°, β = 62.24°, γ = 62.24°
Positions (direct):
Sr  0.000  0.000  0.000
Li  0.688  0.605  0.016
Li  0.312  0.395  0.984
Li  0.688  0.016  0.605
Li  0.312  0.984  0.395
Zn  0.756  0.501  0.501
Zn  0.244  0.499  0.499

Summary:
- Formation enthalpy at 0 K: -0.44 eV per formula unit
- SG: C2/m, No. 12



18.
A geometry-optimized La2ZrBr structure. Source: Alexandria, functional GGA-PBE.

a = 5.833 Å, b = 5.833 Å, c = 5.833 Å
α = 129.05°, β = 129.05°, γ = 74.92°
Positions (direct):
Br  0.750  0.250  0.500
Zr  0.250  0.750  0.500
La  0.000  0.000  0.000
La  0.500  0.500  0.000

Summary:
- E_form (uncorrected): 0.0274 eV per atom
- SG: I4/mmm, No. 139



19.
A geometry-optimized Dy2BF structure. Source: Alexandria, functional GGA-PBE.

a = 3.752 Å, b = 3.752 Å, c = 6.270 Å
α = 72.59°, β = 72.59°, γ = 60.00°
Positions (direct):
B  0.000  0.000  0.000
F  0.500  0.500  0.500
Dy  0.744  0.744  0.769
Dy  0.256  0.256  0.231

Summary:
- E_form (uncorrected): -1.3348 eV per atom
- SG: R-3m, No. 166



20.
A geometry-optimized ErTm2Rh3 structure. Source: Alexandria, functional GGA-PBE.

a = 3.386 Å, b = 3.386 Å, c = 10.128 Å
α = 90.00°, β = 90.00°, γ = 90.00°
Positions (direct):
Er  0.500  0.500  0.500
Tm  0.500  0.500  0.834
Tm  0.500  0.500  0.166
Rh  0.000  0.000  0.000
Rh  0.000  0.000  0.668
Rh  0.000  0.000  0.332

Summary:
- Formation enthalpy at 0 K: -5.75 eV per formula unit
- SG: P4/mmm, No. 123



| no. | density (g/cm3) |
| --- | --- |
| 1 | 12.84 |
| 2 | 8.20 |
| 3 | 2.70 |
| 4 | 7.73 |
| 5 | 4.13 |
| 6 | 8.06 |
| 7 | 8.46 |
| 8 | 4.37 |
| 9 | 6.29 |
| 10 | 7.99 |
| 11 | 7.68 |
| 12 | 5.85 |
| 13 | 4.68 |
| 14 | 14.24 |
| 15 | 9.15 |
| 16 | 5.33 |
| 17 | 2.86 |
| 18 | 6.40 |
| 19 | 8.21 |
| 20 | 11.64 |